[1]
A plane-wave DFT calculation with PBE was carried out for an optimized crystal structure of Ti4AlOs.

Cell and atoms, written as POSCAR:
```
Ti4AlOs
1.0
4.251 0.000 0.000
0.000 4.251 0.000
0.000 0.000 6.354
Ti Al Os
4 1 1
Cartesian
0.000 2.125 1.483 Ti
0.000 2.125 4.871 Ti
2.125 0.000 1.483 Ti
2.125 0.000 4.871 Ti
0.000 0.000 3.177 Al
2.125 2.125 0.000 Os
```

Calculated values
The value obtained for the formation enthalpy at 0 K is 0.06 eV per atom. The magnetization is 0.000 μB per cell. Its energy above the most stable polymorph in this dataset is 2.647 eV/f.u.

[2]
A plane-wave DFT calculation with PBE was carried out for an optimized crystal structure of Cs2UHg2Se6.

Cell and atoms, written as POSCAR:
```
Cs2UHg2Se6
1.0
6.642 -3.987 0.000
6.642 3.987 0.000
-3.665 0.000 7.958
Cs U Hg Se
2 1 2 6
Cartesian
2.077 0.000 1.287 Cs
7.543 0.000 6.671 Cs
-1.833 0.000 3.979 U
3.199 0.000 5.469 Hg
6.420 0.000 2.489 Hg
5.168 2.190 1.922 Se
0.713 0.000 4.612 Se
4.452 2.190 6.036 Se
5.168 -2.190 1.922 Se
8.907 0.000 3.346 Se
4.452 -2.190 6.036 Se
```

Calculated values
The uncorrected formation energy is -742 meV/atom. The magnetization is 0.081 μB per cell.

[3]
A plane-wave DFT calculation with PBE was carried out for an optimized crystal structure of NiSb3Ru.

Cell and atoms, written as POSCAR:
```
NiSb3Ru
1.0
4.849 0.000 0.000
0.000 4.849 0.000
0.000 0.000 4.849
Ni Sb Ru
1 3 1
Cartesian
0.000 0.000 0.000 Ni
0.000 0.000 2.425 Sb
0.000 2.425 0.000 Sb
2.425 0.000 0.000 Sb
2.425 2.425 2.425 Ru
```

Calculated values
The uncorrected formation energy is 779 meV/atom. The magnetization is 0.001 μB per cell. Its energy above the most stable polymorph in this dataset is 0.000 eV/f.u.

[4]
A plane-wave DFT calculation with PBE was carried out for an optimized crystal structure of YSbAs2.

Cell and atoms, written as POSCAR:
```
YSbAs2
1.0
6.367 0.000 0.000
0.000 7.536 0.000
0.000 0.000 3.801
Y Sb As
2 2 4
Cartesian
0.000 0.000 0.000 Y
3.184 3.768 0.000 Y
0.000 3.768 0.000 Sb
3.184 0.000 0.000 Sb
1.592 1.884 1.901 As
1.592 5.652 1.901 As
4.776 1.884 1.901 As
4.776 5.652 1.901 As
```

Calculated values
The uncorrected formation energy is -513 meV/atom. The magnetization is 0.000 μB per cell.

[5]
A plane-wave DFT calculation with PBE was carried out for an optimized crystal structure of SrLiCd2.

Cell and atoms, written as POSCAR:
```
SrLiCd2
1.0
8.446 0.000 0.000
0.000 4.863 0.000
-2.783 0.000 5.473
Sr Li Cd
2 2 4
Cartesian
0.000 0.000 0.000 Sr
4.223 2.432 0.000 Sr
1.419 2.432 2.203 Li
5.642 0.000 2.203 Li
0.020 0.000 3.379 Cd
2.829 0.000 2.503 Cd
4.243 2.432 3.379 Cd
7.052 2.432 2.503 Cd
```

Calculated values
The value obtained for the formation enthalpy at 0 K is -0.23 eV per atom. The magnetization is 0.000 μB per cell. Its energy above the most stable polymorph in this dataset is 0.143 eV/f.u.

[6]
A plane-wave DFT calculation with PBE was carried out for an optimized crystal structure of DyTm4Co.

Cell and atoms, written as POSCAR:
```
DyTm4Co
1.0
-2.855 3.621 7.865
2.855 -3.621 7.865
2.855 3.621 -7.865
Dy Tm Co
2 8 2
Cartesian
0.000 0.000 3.101 Dy
0.000 0.000 12.630 Dy
2.855 1.784 -1.867 Tm
0.000 1.627 0.000 Tm
2.855 0.000 5.154 Tm
2.855 1.784 1.867 Tm
0.000 1.838 5.998 Tm
0.000 3.621 2.711 Tm
0.000 5.615 0.000 Tm
0.000 1.838 9.732 Tm
1.716 3.621 0.000 Co
1.139 0.000 7.865 Co
```

Calculated values
The value obtained for the formation enthalpy at 0 K is -0.06 eV per atom. The magnetization is 0.000 μB per cell.